No. 1
TbGa12Rh7: relaxed, PBE.

Structure (extended XYZ):
```
20
Lattice="-4.5672 4.5672 4.5672 4.5672 -4.5672 4.5672 4.5672 4.5672 -4.5672" Properties=species:S:1:pos:R:3 pbc="T T T"
Tb 0.0000 0.0000 0.0000
Ga 4.5672 -1.5037 2.5454
Ga 3.0635 2.0218 0.0000
Ga 6.0709 2.0218 0.0000
Ga 2.5454 4.5672 -1.5037
Ga 2.0218 0.0000 3.0635
Ga 4.5672 1.5037 2.5454
Ga 0.0000 3.0635 2.0218
Ga 2.5454 4.5672 1.5037
Ga 2.0218 0.0000 6.0709
Ga -1.5037 2.5454 4.5672
Ga 1.5037 2.5454 4.5672
Ga 0.0000 6.0709 2.0218
Rh 2.2836 2.2836 -2.2836
Rh 2.2836 -2.2836 2.2836
Rh 4.5672 0.0000 0.0000
Rh -2.2836 2.2836 2.2836
Rh 0.0000 4.5672 0.0000
Rh 0.0000 0.0000 4.5672
Rh 2.2836 2.2836 2.2836
```

For the total magnetization, the calculation gives 0.000 μB/cell. Its symmetry is Im-3, No. 204. As for the density: 7.477 g cm⁻³. Its formation enthalpy at 0 K is -213 meV/atom.

---

No. 2
CdICl: relaxed, PBE.

Structure (extended XYZ):
```
12
Lattice="7.7064 0.0000 0.0000 0.0000 7.6025 0.0000 0.0000 0.0000 8.2461" Properties=species:S:1:pos:R:3 pbc="T T T"
Cd 1.1941 1.2277 2.0615
Cd 1.1941 2.5735 6.1845
Cd 6.5124 5.0290 2.0615
Cd 6.5124 6.3748 6.1845
I 1.4198 5.4018 6.1845
I 1.4198 6.0021 2.0615
I 6.2866 1.6005 6.1845
I 6.2866 2.2008 2.0615
Cl 2.5245 1.9006 0.0000
Cl 2.5245 1.9006 4.1230
Cl 5.1819 5.7019 0.0000
Cl 5.1819 5.7019 4.1230
```

For the energy relative to the elements, uncorrected, the calculation gives -0.80 eV per atom. For the total magnetization, the calculation gives 0.000 μB/cell. Its symmetry is Pbcm, No. 57. As for the density: 3.778 g cm⁻³.

---

No. 3
Pm4AsCl5: relaxed, PBE.

Structure (extended XYZ):
```
10
Lattice="8.9635 -2.0319 0.0000 8.9635 2.0319 0.0000 -1.9414 0.0000 8.0697" Properties=species:S:1:pos:R:3 pbc="T T T"
Pm -0.4493 0.0000 1.8833
Pm 16.4349 0.0000 6.1864
Pm 4.3699 0.0000 7.3559
Pm 11.6157 0.0000 0.7137
As 8.9635 0.0000 0.0000
Cl 2.3360 0.0000 2.6585
Cl 1.4294 0.0000 6.8362
Cl 7.9928 0.0000 4.0348
Cl 14.5561 0.0000 1.2335
Cl 13.6495 0.0000 5.4112
```

For the energy relative to the elements, uncorrected, the calculation gives -1.84 eV per atom. The energy above the most stable polymorph in this dataset is 0 meV per atom. For the total magnetization, the calculation gives 0.000 μB/cell. Its symmetry is C2/m, No. 12. As for the density: 4.701 g cm⁻³.

---

No. 4
YPtSeN2: relaxed, PBE.

Structure (extended XYZ):
```
5
Lattice="4.1259 0.0000 0.0000 0.0000 4.1259 0.0000 0.0000 0.0000 5.9677" Properties=species:S:1:pos:R:3 pbc="T T T"
Y 0.0000 0.0000 0.0000
Pt 2.0630 2.0630 2.9839
Se 0.0000 0.0000 2.9839
N 0.0000 2.0630 0.0000
N 2.0630 0.0000 0.0000
```

For the energy relative to the elements, uncorrected, the calculation gives 1.24 eV per atom. The energy above the most stable polymorph in this dataset is 848 meV per atom. For the total magnetization, the calculation gives 0.003 μB/cell. Its symmetry is P4/mmm, No. 123. As for the density: 6.390 g cm⁻³.

---

No. 5
Si2RuAu: relaxed, PBE.

Structure (extended XYZ):
```
16
Lattice="6.2625 0.0000 0.0000 0.0000 6.2625 0.0000 0.0000 0.0000 6.2625" Properties=species:S:1:pos:R:3 pbc="T T T"
Si 0.0000 0.0000 0.0000
Si 0.0000 3.1313 3.1313
Si 1.5656 1.5656 1.5656
Si 1.5656 4.6969 4.6969
Si 3.1313 0.0000 3.1313
Si 3.1313 3.1313 0.0000
Si 4.6969 1.5656 4.6969
Si 4.6969 4.6969 1.5656
Ru 1.5656 1.5656 4.6969
Ru 1.5656 4.6969 1.5656
Ru 4.6969 1.5656 1.5656
Ru 4.6969 4.6969 4.6969
Au 0.0000 0.0000 3.1313
Au 0.0000 3.1313 0.0000
Au 3.1313 0.0000 0.0000
Au 3.1313 3.1313 3.1313
```

For the energy relative to the elements, uncorrected, the calculation gives 0.42 eV per atom. The energy above the most stable polymorph in this dataset is 624 meV per atom. For the total magnetization, the calculation gives 0.000 μB/cell. Its symmetry is F-43m, No. 216. As for the density: 9.579 g cm⁻³.

---

No. 6
La2GeO5: relaxed, PBE.

Structure (extended XYZ):
```
16
Lattice="5.7201 0.0000 0.0000 0.0000 5.7201 0.0000 0.0000 0.0000 7.8928" Properties=species:S:1:pos:R:3 pbc="T T T"
La 0.0000 2.8601 0.0000
La 0.0000 2.8601 3.9464
La 2.8601 0.0000 0.0000
La 2.8601 0.0000 3.9464
Ge 0.0000 0.0000 2.2060
Ge 2.8601 2.8601 6.1524
O 0.0000 0.0000 0.4602
O 1.2809 1.2809 2.7025
O 1.2809 4.4392 2.7025
O 1.5792 1.5792 6.6489
O 1.5792 4.1409 6.6489
O 2.8601 2.8601 4.4066
O 4.1409 1.5792 6.6489
O 4.1409 4.1409 6.6489
O 4.4392 1.2809 2.7025
O 4.4392 4.4392 2.7025
```

For the energy relative to the elements, uncorrected, the calculation gives -2.61 eV per atom. The energy above the most stable polymorph in this dataset is 283 meV per atom. For the total magnetization, the calculation gives 0.000 μB/cell. Its symmetry is I4mm, No. 107. As for the density: 5.536 g cm⁻³.